Entry from the Alexandria database: crystalline SrLi3Ga at its relaxed geometry (GGA-PBE).

symmetry = Pm-3m (221)
energy above the lowest structure with this stoichiometry = 1.040 eV per atom
N(E_F) = 3.6 states/eV/f.u.
formation energy = 0.908 eV/atom

```
SrLi3Ga
1.0
5.896 0.000 0.000
0.000 5.896 0.000
0.000 0.000 5.896
Sr Li Ga
1 3 1
Cartesian
0.000 0.000 0.000 Sr
0.000 0.000 2.948 Li
0.000 2.948 0.000 Li
2.948 0.000 0.000 Li
2.948 2.948 2.948 Ga
```

=====

Entry from the Alexandria database: crystalline SrLiGa3 at its relaxed geometry (GGA-PBE).

symmetry = Cmcm (63)
energy above the lowest structure with this stoichiometry = 0.056 eV per atom
N(E_F) = 1.6 states/eV/f.u.
formation energy = -0.304 eV/atom

```
SrLiGa3
1.0
2.061 -12.806 0.000
2.061 12.806 0.000
0.000 0.000 4.423
Sr Li Ga
2 2 6
Cartesian
2.061 10.776 3.317 Sr
2.061 -10.776 1.106 Sr
2.061 7.436 1.106 Li
2.061 -7.436 3.317 Li
2.061 4.733 1.106 Ga
2.061 3.357 3.317 Ga
2.061 0.667 3.317 Ga
2.061 -0.667 1.106 Ga
2.061 -3.357 1.106 Ga
2.061 -4.733 3.317 Ga
```

=====

Entry from the Alexandria database: crystalline Sr3LiGa at its relaxed geometry (GGA-PBE).

symmetry = Pm-3m (221)
energy above the lowest structure with this stoichiometry = 0.151 eV per atom
N(E_F) = 4.1 states/eV/f.u.
formation energy = 0.001 eV/atom

```
Sr3LiGa
1.0
6.222 0.000 0.000
0.000 6.222 0.000
0.000 0.000 6.222
Sr Li Ga
3 1 1
Cartesian
0.000 0.000 3.111 Sr
0.000 3.111 0.000 Sr
3.111 0.000 0.000 Sr
3.111 3.111 3.111 Li
0.000 0.000 0.000 Ga
```

=====

Entry from the Alexandria database: crystalline Sr4Li2Ga at its relaxed geometry (GGA-PBE).

symmetry = R-3m (166)
N(E_F) = 7.0 states/eV/f.u.
formation energy = -0.032 eV/atom

```
Sr4Li2Ga
1.0
2.862 1.652 9.388
-2.862 1.652 9.388
0.000 -3.304 9.388
Sr Li Ga
4 2 1
Cartesian
0.000 0.000 3.450 Sr
0.000 0.000 10.494 Sr
0.000 0.000 17.669 Sr
0.000 0.000 24.713 Sr
0.000 0.000 7.162 Li
0.000 0.000 21.001 Li
0.000 0.000 0.000 Ga
```

=====

Entry from the Alexandria database: crystalline SrLi4Ga4 at its relaxed geometry (GGA-PBE).

symmetry = I4/m (87)
N(E_F) = 2.1 states/eV/f.u.
formation energy = -0.255 eV/atom

```
SrLi4Ga4
1.0
-4.468 4.468 2.315
4.468 -4.468 2.315
4.468 4.468 -2.315
Sr Li Ga
1 4 4
Cartesian
0.000 0.000 0.000 Sr
3.060 2.114 0.000 Li
2.354 -1.408 2.315 Li
2.114 5.877 0.000 Li
1.408 2.354 2.315 Li
5.536 0.767 0.000 Ga
0.767 3.401 0.000 Ga
3.702 1.067 2.315 Ga
-1.067 3.702 2.315 Ga
```

=====

Entry from the Alexandria database: crystalline Sr2Li5Ga4 at its relaxed geometry (GGA-PBE).

symmetry = C2/m (12)
N(E_F) = 4.4 states/eV/f.u.
formation energy = -0.254 eV/atom

```
Sr2Li5Ga4
1.0
6.784 -2.882 0.000
6.784 2.882 0.000
-5.229 0.000 6.713
Sr Li Ga
2 5 4
Cartesian
1.564 0.000 1.964 Sr
6.775 0.000 4.748 Sr
4.817 1.460 1.641 Li
3.522 1.460 5.071 Li
6.784 0.000 0.000 Li
4.817 -1.460 1.641 Li
3.522 -1.460 5.071 Li
-1.341 0.000 3.736 Ga
-1.185 0.000 6.293 Ga
9.524 0.000 0.420 Ga
9.680 0.000 2.977 Ga
```

=====

Entry from the Alexandria database: crystalline Sr2LiGa2 at its relaxed geometry (GGA-PBE).

symmetry = I4/mmm (139)
energy above the lowest structure with this stoichiometry = 0.264 eV per atom
N(E_F) = 5.0 states/eV/f.u.
formation energy = -0.042 eV/atom

```
Sr2LiGa2
1.0
-1.966 1.966 10.432
1.966 -1.966 10.432
1.966 1.966 -10.432
Sr Li Ga
2 1 2
Cartesian
0.000 0.000 2.406 Sr
0.000 0.000 18.457 Sr
0.000 0.000 10.432 Li
1.966 0.000 5.216 Ga
0.000 1.966 5.216 Ga
```

=====

Entry from the Alexandria database: crystalline SrLi2Ga4 at its relaxed geometry (GGA-PBE).

symmetry = I4/mmm (139)
N(E_F) = 1.9 states/eV/f.u.
formation energy = -0.343 eV/atom

```
SrLi2Ga4
1.0
-3.633 3.633 2.598
3.633 -3.633 2.598
3.633 3.633 -2.598
Sr Li Ga
1 2 4
Cartesian
0.000 0.000 0.000 Sr
3.633 0.000 1.299 Li
0.000 3.633 1.299 Li
2.251 2.251 0.000 Ga
1.382 -1.382 2.598 Ga
-1.382 1.382 2.598 Ga
1.382 1.382 2.598 Ga
```

=====

Entry from the Alexandria database: crystalline SrLiGa2 at its relaxed geometry (GGA-PBE).

symmetry = Pnma (62)
energy above the lowest structure with this stoichiometry = 0.000 eV per atom
N(E_F) = 1.4 states/eV/f.u.
formation energy = -0.398 eV/atom

```
SrLiGa2
1.0
7.428 0.000 0.000
0.000 4.401 0.000
0.000 0.000 11.301
Sr Li Ga
4 4 8
Cartesian
1.715 1.100 2.036 Sr
2.000 3.301 7.687 Sr
5.429 1.100 3.615 Sr
5.714 3.301 9.265 Sr
0.445 3.301 4.623 Li
3.269 1.100 10.274 Li
4.160 3.301 1.027 Li
6.983 1.100 6.678 Li
0.515 1.100 9.890 Ga
1.592 3.301 10.937 Ga
2.122 1.100 5.287 Ga
3.199 3.301 4.239 Ga
4.230 1.100 7.062 Ga
5.306 3.301 6.015 Ga
5.837 1.100 0.364 Ga
6.913 3.301 1.411 Ga
```

=====

Entry from the Alexandria database: crystalline SrLi2Ga3 at its relaxed geometry (GGA-PBE).

symmetry = Cmcm (63)
N(E_F) = 1.9 states/eV/f.u.
formation energy = -0.362 eV/atom

```
SrLi2Ga3
1.0
5.369 -4.500 0.000
5.369 4.500 0.000
0.000 0.000 5.081
Sr Li Ga
2 4 6
Cartesian
5.369 2.877 3.811 Sr
5.369 -2.877 1.270 Sr
3.079 0.000 0.000 Li
3.079 0.000 2.540 Li
7.660 0.000 0.000 Li
7.660 0.000 2.540 Li
3.334 2.405 1.270 Ga
7.404 2.405 1.270 Ga
5.369 0.658 1.270 Ga
5.369 -0.658 3.811 Ga
3.334 -2.405 3.811 Ga
7.404 -2.405 3.811 Ga
```

=====

Entry from the Alexandria database: crystalline SrLi4Ga at its relaxed geometry (GGA-PBE).

symmetry = F-43m (216)
energy above the lowest structure with this stoichiometry = 0.036 eV per atom
N(E_F) = 2.9 states/eV/f.u.
formation energy = -0.081 eV/atom

```
SrLi4Ga
1.0
0.000 4.002 4.002
4.002 0.000 4.002
4.002 4.002 0.000
Sr Li Ga
1 4 1
Cartesian
0.000 0.000 0.000 Sr
3.026 3.026 3.026 Li
4.978 4.978 3.026 Li
4.978 3.026 4.978 Li
3.026 4.978 4.978 Li
6.003 6.003 6.003 Ga
```

=====

Entry from the Alexandria database: crystalline Sr3Li2Ga3 at its relaxed geometry (GGA-PBE).

symmetry = Pnma (62)
N(E_F) = 5.6 states/eV/f.u.
formation energy = -0.261 eV/atom

```
Sr3Li2Ga3
1.0
8.110 0.000 0.000
0.000 17.116 0.000
0.000 0.000 6.420
Sr Li Ga
12 8 12
Cartesian
0.163 1.794 0.896 Sr
0.163 6.764 0.896 Sr
1.318 4.279 3.869 Sr
2.737 12.837 0.659 Sr
3.892 10.352 4.106 Sr
3.892 15.321 4.106 Sr
4.218 1.794 2.314 Sr
4.218 6.764 2.314 Sr
5.373 4.279 5.762 Sr
6.792 12.837 2.552 Sr
7.947 10.352 5.524 Sr
7.947 15.321 5.524 Sr
1.144 10.269 2.331 Li
1.144 15.404 2.331 Li
2.911 1.711 5.542 Li
2.911 6.847 5.542 Li
5.199 10.269 0.879 Li
5.199 15.404 0.879 Li
6.966 1.711 4.089 Li
6.966 6.847 4.089 Li
1.311 0.606 3.726 Ga
1.311 7.952 3.726 Ga
1.618 12.837 3.854 Ga
2.437 4.279 0.643 Ga
2.744 9.163 0.516 Ga
2.744 16.510 0.516 Ga
5.366 0.606 5.905 Ga
5.366 7.952 5.905 Ga
5.673 12.837 5.777 Ga
6.492 4.279 2.567 Ga
6.799 9.163 2.695 Ga
6.799 16.510 2.695 Ga
```

=====

Copy entry 6 word for word.
Entry from the Alexandria database: crystalline Sr2Li5Ga4 at its relaxed geometry (GGA-PBE).

symmetry = C2/m (12)
N(E_F) = 4.4 states/eV/f.u.
formation energy = -0.254 eV/atom

```
Sr2Li5Ga4
1.0
6.784 -2.882 0.000
6.784 2.882 0.000
-5.229 0.000 6.713
Sr Li Ga
2 5 4
Cartesian
1.564 0.000 1.964 Sr
6.775 0.000 4.748 Sr
4.817 1.460 1.641 Li
3.522 1.460 5.071 Li
6.784 0.000 0.000 Li
4.817 -1.460 1.641 Li
3.522 -1.460 5.071 Li
-1.341 0.000 3.736 Ga
-1.185 0.000 6.293 Ga
9.524 0.000 0.420 Ga
9.680 0.000 2.977 Ga
```